(1)
LaPF3: optimized geometry, PBE.

```
data_LaPF3
_chemical_formula_sum 'La1 P1 F3'
_cell_length_a 4.739
_cell_length_b 4.739
_cell_length_c 4.739
_cell_angle_alpha 90.00
_cell_angle_beta 90.00
_cell_angle_gamma 90.00
_symmetry_space_group_name_H-M 'P 1'
_symmetry_Int_Tables_number 1
_symmetry_space_group_name_Hall 'P 1'
loop_
_atom_site_label
_atom_site_fract_x
_atom_site_fract_y
_atom_site_fract_z
_atom_site_occupancy
F1 0.500 0.000 0.000 1
F2 0.000 0.500 0.000 1
F3 0.000 0.000 0.500 1
P1 0.500 0.500 0.500 1
La1 0.000 0.000 0.000 1
```

Electronic total energy = -5.731 eV per atom
Size of the total moment = 3.0 μB per cell
Space group = Pm-3m (221)
Calculated volume = 21.28 Å³ per atom

(2)
LaP2PdF: optimized geometry, PBE.

```
data_LaP2PdF
_chemical_formula_sum 'La1 P2 Pd1 F1'
_cell_length_a 5.616
_cell_length_b 4.383
_cell_length_c 5.616
_cell_angle_alpha 90.00
_cell_angle_beta 90.00
_cell_angle_gamma 90.00
_symmetry_space_group_name_H-M 'P 1'
_symmetry_Int_Tables_number 1
_symmetry_space_group_name_Hall 'P 1'
loop_
_atom_site_label
_atom_site_fract_x
_atom_site_fract_y
_atom_site_fract_z
_atom_site_occupancy
P1 0.000 0.000 0.500 1
P2 0.500 0.000 0.000 1
F1 0.000 0.500 0.000 1
Pd1 0.500 0.500 0.500 1
La1 0.000 0.000 0.000 1
```

Electronic total energy = -4.761 eV per atom
Size of the total moment = 0.5 μB per cell
Space group = P4/mmm (123)
Calculated volume = 27.65 Å³ per atom

(3)
LaPPdF: optimized geometry, PBE.

```
data_LaPPdF
_chemical_formula_sum 'La2 P2 Pd2 F2'
_cell_length_a 4.031
_cell_length_b 4.031
_cell_length_c 8.671
_cell_angle_alpha 90.00
_cell_angle_beta 90.00
_cell_angle_gamma 90.00
_symmetry_space_group_name_H-M 'P 1'
_symmetry_Int_Tables_number 1
_symmetry_space_group_name_Hall 'P 1'
loop_
_atom_site_label
_atom_site_fract_x
_atom_site_fract_y
_atom_site_fract_z
_atom_site_occupancy
Pd1 0.000 0.000 0.000 1
Pd2 0.500 0.500 0.000 1
F1 0.500 0.500 0.500 1
F2 0.000 0.000 0.500 1
P1 0.000 0.500 0.832 1
P2 0.500 0.000 0.168 1
La1 0.000 0.500 0.312 1
La2 0.500 0.000 0.688 1
```

Electronic total energy = -6.404 eV per atom
Size of the total moment = 0.0 μB per cell
Space group = P4/nmm (129)
Calculated volume = 17.61 Å³ per atom

(4)
Rb2LaPF6: optimized geometry, PBE.

```
data_Rb2LaPF6
_chemical_formula_sum 'Rb2 La1 P1 F6'
_cell_length_a 6.198
_cell_length_b 6.198
_cell_length_c 7.482
_cell_angle_alpha 65.53
_cell_angle_beta 65.53
_cell_angle_gamma 90.00
_symmetry_space_group_name_H-M 'P 1'
_symmetry_Int_Tables_number 1
_symmetry_space_group_name_Hall 'P 1'
loop_
_atom_site_label
_atom_site_fract_x
_atom_site_fract_y
_atom_site_fract_z
_atom_site_occupancy
La1 0.000 0.000 0.000 1
F1 0.264 0.264 0.000 1
F2 0.736 0.736 0.000 1
F3 0.736 0.264 0.000 1
F4 0.264 0.736 0.000 1
F5 0.190 0.190 0.621 1
F6 0.810 0.810 0.379 1
Rb1 0.250 0.750 0.500 1
Rb2 0.750 0.250 0.500 1
P1 0.500 0.500 0.000 1
```

Electronic total energy = -5.036 eV per atom
Size of the total moment = 0.0 μB per cell
Space group = I4/mmm (139)
Calculated volume = 23.29 Å³ per atom

(5)
LaPRhF: optimized geometry, PBE.

```
data_LaPRhF
_chemical_formula_sum 'La2 P2 Rh2 F2'
_cell_length_a 3.953
_cell_length_b 3.953
_cell_length_c 8.760
_cell_angle_alpha 90.00
_cell_angle_beta 90.00
_cell_angle_gamma 90.00
_symmetry_space_group_name_H-M 'P 1'
_symmetry_Int_Tables_number 1
_symmetry_space_group_name_Hall 'P 1'
loop_
_atom_site_label
_atom_site_fract_x
_atom_site_fract_y
_atom_site_fract_z
_atom_site_occupancy
F1 0.500 0.500 0.500 1
F2 0.000 0.000 0.500 1
La1 0.500 0.000 0.690 1
La2 0.000 0.500 0.310 1
Rh1 0.000 0.000 0.000 1
Rh2 0.500 0.500 0.000 1
P1 0.000 0.500 0.844 1
P2 0.500 0.000 0.156 1
```

Electronic total energy = -7.056 eV per atom
Size of the total moment = 0.0 μB per cell
Space group = P4/nmm (129)
Calculated volume = 17.11 Å³ per atom

(6)
LaPRuF: optimized geometry, PBE.

```
data_LaPRuF
_chemical_formula_sum 'La2 P2 Ru2 F2'
_cell_length_a 4.045
_cell_length_b 4.045
_cell_length_c 8.463
_cell_angle_alpha 90.00
_cell_angle_beta 90.00
_cell_angle_gamma 90.00
_symmetry_space_group_name_H-M 'P 1'
_symmetry_Int_Tables_number 1
_symmetry_space_group_name_Hall 'P 1'
loop_
_atom_site_label
_atom_site_fract_x
_atom_site_fract_y
_atom_site_fract_z
_atom_site_occupancy
Ru1 0.000 0.000 0.000 1
Ru2 0.500 0.500 0.000 1
La1 0.000 0.500 0.309 1
La2 0.500 0.000 0.691 1
F1 0.500 0.500 0.500 1
F2 0.000 0.000 0.500 1
P1 0.000 0.500 0.857 1
P2 0.500 0.000 0.143 1
```

Electronic total energy = -7.496 eV per atom
Size of the total moment = 0.0 μB per cell
Space group = P4/nmm (129)
Calculated volume = 17.31 Å³ per atom

(7)
LaP2SF: optimized geometry, PBE.

```
data_LaP2SF
_chemical_formula_sum 'La1 P2 S1 F1'
_cell_length_a 4.166
_cell_length_b 4.166
_cell_length_c 5.544
_cell_angle_alpha 90.00
_cell_angle_beta 90.00
_cell_angle_gamma 90.00
_symmetry_space_group_name_H-M 'P 1'
_symmetry_Int_Tables_number 1
_symmetry_space_group_name_Hall 'P 1'
loop_
_atom_site_label
_atom_site_fract_x
_atom_site_fract_y
_atom_site_fract_z
_atom_site_occupancy
P1 0.000 0.500 0.000 1
P2 0.500 0.000 0.000 1
F1 0.000 0.000 0.000 1
S1 0.000 0.000 0.500 1
La1 0.500 0.500 0.500 1
```

Size of the total moment = 0.0 μB per cell
Space group = P4/mmm (123)
Calculated volume = 19.25 Å³ per atom
Offset from the most stable computed form = 0.000 eV per atom

(8)
LaP2SF: optimized geometry, PBE.

```
data_LaP2SF
_chemical_formula_sum 'La1 P2 S1 F1'
_cell_length_a 5.934
_cell_length_b 5.934
_cell_length_c 5.349
_cell_angle_alpha 90.00
_cell_angle_beta 90.00
_cell_angle_gamma 90.00
_symmetry_space_group_name_H-M 'P 1'
_symmetry_Int_Tables_number 1
_symmetry_space_group_name_Hall 'P 1'
loop_
_atom_site_label
_atom_site_fract_x
_atom_site_fract_y
_atom_site_fract_z
_atom_site_occupancy
P1 0.500 0.000 0.000 1
P2 0.000 0.500 0.000 1
S1 0.000 0.000 0.500 1
La1 0.000 0.000 0.000 1
F1 0.500 0.500 0.500 1
```

Size of the total moment = 4.0 μB per cell
Space group = P4/mmm (123)
Calculated volume = 37.66 Å³ per atom
Offset from the most stable computed form = 1.101 eV per atom

(9)
La8P3Se4F: optimized geometry, PBE.

```
data_La8P3Se4F
_chemical_formula_sum 'La8 P3 Se4 F1'
_cell_length_a 8.469
_cell_length_b 8.541
_cell_length_c 8.469
_cell_angle_alpha 119.72
_cell_angle_beta 120.00
_cell_angle_gamma 90.00
_symmetry_space_group_name_H-M 'P 1'
_symmetry_Int_Tables_number 1
_symmetry_space_group_name_Hall 'P 1'
loop_
_atom_site_label
_atom_site_fract_x
_atom_site_fract_y
_atom_site_fract_z
_atom_site_occupancy
La1 0.256 0.268 0.512 1
La2 0.738 0.734 0.986 1
La3 0.752 0.266 0.503 1
La4 0.744 0.732 0.488 1
La5 0.262 0.266 0.014 1
La6 0.248 0.734 0.986 1
La7 0.752 0.266 0.014 1
La8 0.248 0.734 0.497 1
Se1 0.000 0.000 0.500 1
Se2 0.500 0.000 0.000 1
Se3 0.000 0.000 0.000 1
Se4 0.500 0.000 0.500 1
P1 0.500 0.500 0.000 1
P2 0.500 0.500 0.500 1
P3 0.000 0.500 0.500 1
F1 0.000 0.500 0.000 1
```

Electronic total energy = -6.404 eV per atom
Size of the total moment = 0.0 μB per cell
Space group = R-3m (166)
Calculated volume = 27.19 Å³ per atom